Entry 1:
This record from the Alexandria database describes a geometry-optimized Cs2CdBr2Cl2 structure. The functional is PBE-GGA.

Geometry as POSCAR:
```
Cs2CdBr2Cl2
1.0
-2.7163 2.7163 8.8740
2.7163 -2.7163 8.8740
2.7163 2.7163 -8.8740
Cs Cd Br Cl
2 1 2 2
Direct
0.1361 0.1361 0.0000 Cs
0.8639 0.8639 0.0000 Cs
0.5000 0.5000 0.0000 Cd
0.3456 0.3456 0.0000 Br
0.6544 0.6544 0.0000 Br
0.0000 0.5000 0.5000 Cl
0.5000 0.0000 0.5000 Cl
```

Properties
Calculated total energy = -2.918 eV/atom
D(E_F) = 0.00 states/eV/atom
Symmetry = No. 139
Energy relative to the elements, uncorrected = -1.54 eV per atom

Entry 2:
This record from the Alexandria database describes a geometry-optimized TlAg2Hg structure. The functional is PBE-GGA.

Geometry as POSCAR:
```
TlAg2Hg
1.0
3.3856 -4.2539 0.0000
3.3856 4.2539 0.0000
-0.0377 0.0000 3.0455
Tl Ag Hg
1 2 1
Direct
0.0000 0.0000 0.0000 Tl
0.0000 0.5000 0.5000 Ag
0.5000 0.0000 0.5000 Ag
0.5000 0.5000 0.0000 Hg
```

Properties
Calculated total energy = -1.957 eV/atom
Energy of formation from the pure elements = 0.1354 eV/atom
D(E_F) = 0.26 states/eV/atom
Symmetry = No. 12

Entry 3:
This record from the Alexandria database describes a geometry-optimized Sc3GaN structure. The functional is PBE-GGA.

Geometry as POSCAR:
```
Sc3GaN
1.0
5.5010 -1.6794 0.0000
5.5010 1.6794 0.0000
-1.5276 0.0000 9.3721
Sc Ga N
6 2 2
Direct
0.0000 0.0000 0.0000 Sc
0.2104 0.2104 0.4864 Sc
0.2451 0.2451 0.8966 Sc
0.5071 0.5071 0.2830 Sc
0.5470 0.5470 0.7127 Sc
0.7655 0.7655 0.1647 Sc
0.8369 0.8369 0.7097 Ga
0.9259 0.9259 0.4737 Ga
0.3752 0.3752 0.0929 N
0.6290 0.6290 0.9517 N
```

Properties
Calculated total energy = -7.051 eV/atom
D(E_F) = 0.69 states/eV/atom
Symmetry = No. 8
Energy relative to the elements, uncorrected = -0.98 eV per atom

Entry 4:
This record from the Alexandria database describes a geometry-optimized V2RuW structure. The functional is PBE-GGA.

Geometry as POSCAR:
```
V2RuW
1.0
-3.4267 3.4267 2.6068
3.4267 -3.4267 2.6068
3.4267 3.4267 -2.6068
V Ru W
4 2 2
Direct
0.1109 0.6250 0.9859 V
0.3750 0.3609 0.4859 V
0.6391 0.1250 0.0141 V
0.8750 0.8891 0.5141 V
0.0000 0.0000 0.0000 Ru
0.7500 0.2500 0.5000 Ru
0.2500 0.7500 0.5000 W
0.5000 0.5000 0.0000 W
```

Properties
Calculated total energy = -9.573 eV/atom
Energy of formation from the pure elements = 0.5432 eV/atom
E above lowest polymorph = 765 meV per atom
D(E_F) = 1.17 states/eV/atom
Symmetry = No. 122

Entry 5:
This record from the Alexandria database describes a geometry-optimized PmIn2 structure. The functional is PBE-GGA.

Geometry as POSCAR:
```
PmIn2
1.0
3.1363 -3.0832 0.0000
3.1363 3.0832 0.0000
-1.8976 0.0000 4.5075
Pm In
1 2
Direct
0.0000 0.0000 0.0000 Pm
0.3584 0.3584 0.6751 In
0.6416 0.6416 0.3249 In
```

Properties
Calculated total energy = -3.658 eV/atom
Energy of formation from the pure elements = -0.2486 eV/atom
E above lowest polymorph = 168 meV per atom
D(E_F) = 0.67 states/eV/atom
Symmetry = No. 12

Entry 6:
This record from the Alexandria database describes a geometry-optimized RbCrSeBr2 structure. The functional is PBE-GGA.

Geometry as POSCAR:
```
RbCrSeBr2
1.0
6.2260 0.0000 0.0000
0.0000 6.2260 0.0000
0.0000 0.0000 6.0672
Rb Cr Se Br
1 1 1 2
Direct
0.0000 0.0000 0.0000 Rb
0.5000 0.5000 0.5000 Cr
0.0000 0.0000 0.5000 Se
0.0000 0.5000 0.0000 Br
0.5000 0.0000 0.0000 Br
```

Properties
Calculated total energy = -2.986 eV/atom
E above lowest polymorph = 1352 meV per atom
D(E_F) = 1.71 states/eV/atom
Symmetry = No. 123
Energy relative to the elements, uncorrected = 0.50 eV per atom

Entry 7:
This record from the Alexandria database describes a geometry-optimized CaTlBr2 structure. The functional is PBE-GGA.

Geometry as POSCAR:
```
CaTlBr2
1.0
5.9948 0.0000 0.0000
0.0000 4.1519 0.0000
-1.3608 0.0000 5.9516
Ca Tl Br
1 1 2
Direct
0.0000 0.0000 0.0000 Ca
0.5000 0.0000 0.5000 Tl
0.2064 0.5000 0.7908 Br
0.7936 0.5000 0.2092 Br
```

Properties
Calculated total energy = -3.060 eV/atom
E above lowest polymorph = 206 meV per atom
D(E_F) = 0.45 states/eV/atom
Symmetry = No. 10
Energy relative to the elements, uncorrected = -1.13 eV per atom

Entry 8:
This record from the Alexandria database describes a geometry-optimized ZnSbTe2W structure. The functional is PBE-GGA.

Geometry as POSCAR:
```
ZnSbTe2W
1.0
5.3142 0.0000 0.0000
0.0000 5.3142 0.0000
0.0000 0.0000 5.3607
Zn Sb Te W
1 1 2 1
Direct
0.0000 0.0000 0.0000 Zn
0.5000 0.5000 0.0000 Sb
0.0000 0.5000 0.5000 Te
0.5000 0.0000 0.5000 Te
0.5000 0.5000 0.5000 W
```

Properties
Calculated total energy = -4.279 eV/atom
E above lowest polymorph = 0 meV per atom
D(E_F) = 0.92 states/eV/atom
Symmetry = No. 123
Energy relative to the elements, uncorrected = 0.65 eV per atom

Entry 9:
This record from the Alexandria database describes a geometry-optimized CaPm2Er structure. The functional is PBE-GGA.

Geometry as POSCAR:
```
CaPm2Er
1.0
1.8165 1.0488 12.1526
-1.8165 1.0488 12.1526
0.0000 -2.0975 12.1526
Ca Pm Er
1 2 1
Direct
0.0000 0.0000 0.0000 Ca
0.2447 0.2447 0.2447 Pm
0.4222 0.4222 0.4222 Pm
0.8336 0.8336 0.8336 Er
```

Properties
Calculated total energy = -3.972 eV/atom
Energy of formation from the pure elements = 0.0445 eV/atom
E above lowest polymorph = 4 meV per atom
D(E_F) = 1.28 states/eV/atom
Symmetry = No. 160

Entry 10:
This record from the Alexandria database describes a geometry-optimized Ba2Al4Cd3In structure. The functional is PBE-GGA.

Geometry as POSCAR:
```
Ba2Al4Cd3In
1.0
4.7149 0.0000 0.0000
0.0000 4.7149 0.0000
0.0000 0.0000 11.8354
Ba Al Cd In
2 4 3 1
Direct
0.0000 0.5000 0.2484 Ba
0.5000 0.0000 0.7516 Ba
0.0000 0.0000 0.0000 Al
0.0000 0.5000 0.6372 Al
0.5000 0.0000 0.3628 Al
0.5000 0.5000 0.0000 Al
0.0000 0.5000 0.8692 Cd
0.5000 0.0000 0.1308 Cd
0.5000 0.5000 0.5000 Cd
0.0000 0.0000 0.5000 In
```

Properties
Calculated total energy = -2.657 eV/atom
Energy of formation from the pure elements = -0.2274 eV/atom
D(E_F) = 0.46 states/eV/atom
Symmetry = No. 115

Entry 11:
This record from the Alexandria database describes a geometry-optimized Li2Tm5Sn5 structure. The functional is PBE-GGA.

Geometry as POSCAR:
```
Li2Tm5Sn5
1.0
4.2031 -2.4285 0.0000
4.2031 2.4285 0.0000
-2.7926 0.0000 14.6583
Li Tm Sn
2 5 5
Direct
0.0675 0.0675 0.2029 Li
0.9325 0.9325 0.7971 Li
0.2242 0.2242 0.6717 Tm
0.3046 0.3046 0.9136 Tm
0.5000 0.5000 0.5000 Tm
0.6954 0.6954 0.0864 Tm
0.7758 0.7758 0.3283 Tm
0.0000 0.0000 0.0000 Sn
0.1378 0.1378 0.4139 Sn
0.4026 0.4026 0.2086 Sn
0.5974 0.5974 0.7914 Sn
0.8622 0.8622 0.5861 Sn
```

Properties
Calculated total energy = -4.415 eV/atom
Energy of formation from the pure elements = -0.5654 eV/atom
D(E_F) = 0.46 states/eV/atom
Symmetry = No. 12

Entry 12:
This record from the Alexandria database describes a geometry-optimized CaEr6Se8 structure. The functional is PBE-GGA.

Geometry as POSCAR:
```
CaEr6Se8
1.0
0.0000 5.7069 5.7069
5.7069 0.0000 5.7069
5.7069 5.7069 0.0000
Ca Er Se
1 6 8
Direct
0.0000 0.0000 0.0000 Ca
0.0000 0.0000 0.5000 Er
0.0000 0.5000 0.0000 Er
0.0000 0.5000 0.5000 Er
0.5000 0.0000 0.0000 Er
0.5000 0.0000 0.5000 Er
0.5000 0.5000 0.0000 Er
0.2500 0.2500 0.2500 Se
0.2557 0.2557 0.7443 Se
0.2557 0.7443 0.2557 Se
0.2557 0.7443 0.7443 Se
0.7443 0.2557 0.2557 Se
0.7443 0.2557 0.7443 Se
0.7443 0.7443 0.2557 Se
0.7500 0.7500 0.7500 Se
```

Properties
Calculated total energy = -5.637 eV/atom
D(E_F) = 0.27 states/eV/atom
Symmetry = No. 225
Energy relative to the elements, uncorrected = -1.82 eV per atom

Entry 13:
This record from the Alexandria database describes a geometry-optimized Li8Mg6Ag structure. The functional is PBE-GGA.

Geometry as POSCAR:
```
Li8Mg6Ag
1.0
4.1510 2.3966 5.1246
-4.1510 2.3966 5.1246
0.0000 -4.7932 5.1246
Li Mg Ag
8 6 1
Direct
0.0467 0.8706 0.3656 Li
0.1294 0.6344 0.9533 Li
0.2417 0.2417 0.2417 Li
0.3656 0.0467 0.8706 Li
0.6344 0.9533 0.1294 Li
0.7583 0.7583 0.7583 Li
0.8706 0.3656 0.0467 Li
0.9533 0.1294 0.6344 Li
0.1778 0.4358 0.6202 Mg
0.3798 0.8222 0.5642 Mg
0.4358 0.6202 0.1778 Mg
0.5642 0.3798 0.8222 Mg
0.6202 0.1778 0.4358 Mg
0.8222 0.5642 0.3798 Mg
0.0000 0.0000 0.0000 Ag
```

Properties
Calculated total energy = -1.875 eV/atom
Energy of formation from the pure elements = -0.0263 eV/atom
E above lowest polymorph = 23 meV per atom
D(E_F) = 0.25 states/eV/atom
Symmetry = No. 148

Entry 14:
This record from the Alexandria database describes a geometry-optimized Na10B13C7 structure. The functional is PBE-GGA.

Geometry as POSCAR:
```
Na10B13C7
1.0
4.9568 0.0000 0.0000
2.4720 7.2524 0.0000
2.4692 1.4612 8.5338
Na B C
10 13 7
Direct
0.0000 0.0000 0.0000 Na
0.0014 0.5000 0.4951 Na
0.2015 0.5989 0.9971 Na
0.2031 0.1011 0.4945 Na
0.4001 0.1993 0.0010 Na
0.4012 0.7004 0.4963 Na
0.6002 0.8005 0.9985 Na
0.6023 0.3011 0.4931 Na
0.7992 0.3996 0.0005 Na
0.8029 0.9007 0.4934 Na
0.0323 0.3619 0.2468 B
0.2029 0.2347 0.7467 B
0.2219 0.4479 0.7463 B
0.2433 0.9389 0.2473 B
0.3640 0.8499 0.7473 B
0.4364 0.5501 0.2461 B
0.5867 0.4640 0.7468 B
0.6176 0.1504 0.2478 B
0.7715 0.0386 0.7474 B
0.8200 0.2523 0.7471 B
0.8358 0.7505 0.2465 B
0.9597 0.6608 0.7468 B
0.9688 0.1501 0.2479 B
0.0292 0.8497 0.7478 C
0.1762 0.7447 0.2460 C
0.3672 0.3530 0.2469 C
0.4345 0.0403 0.7472 C
0.5695 0.9474 0.2478 C
0.6240 0.6597 0.7469 C
0.7704 0.5562 0.2458 C
```

Properties
Calculated total energy = -5.371 eV/atom
Energy of formation from the pure elements = 0.1146 eV/atom
E above lowest polymorph = 29 meV per atom
D(E_F) = 0.17 states/eV/atom
Symmetry = No. 1

Entry 15:
This record from the Alexandria database describes a geometry-optimized CaAcGe4 structure. The functional is PBE-GGA.

Geometry as POSCAR:
```
CaAcGe4
1.0
8.9155 0.0000 0.0000
0.0000 15.5696 0.0000
0.0000 0.0000 4.4010
Ca Ac Ge
4 4 16
Direct
0.1345 0.0882 0.0000 Ca
0.3655 0.5882 0.0000 Ca
0.6345 0.4118 0.0000 Ca
0.8655 0.9118 0.0000 Ca
0.1258 0.3646 0.0000 Ac
0.3742 0.8646 0.0000 Ac
0.6258 0.1354 0.0000 Ac
0.8742 0.6354 0.0000 Ac
0.0028 0.2042 0.5000 Ge
0.1168 0.5481 0.5000 Ge
0.1210 0.9468 0.5000 Ge
0.2167 0.7025 0.5000 Ge
0.2833 0.2025 0.5000 Ge
0.3790 0.4468 0.5000 Ge
0.3832 0.0481 0.5000 Ge
0.4972 0.7042 0.5000 Ge
0.5028 0.2958 0.5000 Ge
0.6168 0.9519 0.5000 Ge
0.6210 0.5532 0.5000 Ge
0.7167 0.7975 0.5000 Ge
0.7833 0.2975 0.5000 Ge
0.8790 0.0532 0.5000 Ge
0.8832 0.4519 0.5000 Ge
0.9972 0.7958 0.5000 Ge
```

Properties
Calculated total energy = -4.530 eV/atom
Energy of formation from the pure elements = -0.4329 eV/atom
E above lowest polymorph = 0 meV per atom
D(E_F) = 0.54 states/eV/atom
Symmetry = No. 55

Entry 16:
This record from the Alexandria database describes a geometry-optimized La4Pr3Cu2 structure. The functional is PBE-GGA.

Geometry as POSCAR:
```
La4Pr3Cu2
1.0
8.7802 -1.9181 0.0000
8.7802 1.9181 0.0000
-3.7575 0.0000 8.5673
La Pr Cu
4 3 2
Direct
0.1343 0.1343 0.3858 La
0.2621 0.2621 0.8325 La
0.7379 0.7379 0.1675 La
0.8657 0.8657 0.6142 La
0.4302 0.4302 0.3209 Pr
0.5000 0.5000 0.0000 Pr
0.5698 0.5698 0.6791 Pr
0.1139 0.1139 0.9483 Cu
0.8861 0.8861 0.0517 Cu
```

Properties
Calculated total energy = -4.707 eV/atom
Energy of formation from the pure elements = -0.0135 eV/atom
D(E_F) = 1.57 states/eV/atom
Symmetry = No. 12

Entry 17:
This record from the Alexandria database describes a geometry-optimized YRuPb2 structure. The functional is PBE-GGA.

Geometry as POSCAR:
```
YRuPb2
1.0
1.7547 1.0131 9.7219
-1.7547 1.0131 9.7219
0.0000 -2.0262 9.7219
Y Ru Pb
1 1 2
Direct
0.0000 0.0000 0.0000 Y
0.2672 0.2672 0.2672 Ru
0.5321 0.5321 0.5321 Pb
0.7637 0.7637 0.7637 Pb
```

Properties
Calculated total energy = -5.701 eV/atom
Energy of formation from the pure elements = 0.0879 eV/atom
D(E_F) = 0.86 states/eV/atom
Symmetry = No. 160

Entry 18:
This record from the Alexandria database describes a geometry-optimized Ac4HoCd3 structure. The functional is PBE-GGA.

Geometry as POSCAR:
```
Ac4HoCd3
1.0
4.0021 0.0000 0.0000
0.0000 5.8757 0.0000
0.0000 0.0000 11.8271
Ac Ho Cd
4 1 3
Direct
0.0000 0.0000 0.0000 Ac
0.0000 0.0000 0.5000 Ac
0.0000 0.5000 0.2415 Ac
0.0000 0.5000 0.7585 Ac
0.5000 0.5000 0.5000 Ho
0.5000 0.0000 0.2563 Cd
0.5000 0.0000 0.7437 Cd
0.5000 0.5000 0.0000 Cd
```

Properties
Calculated total energy = -3.148 eV/atom
Energy of formation from the pure elements = -0.1784 eV/atom
D(E_F) = 1.24 states/eV/atom
Symmetry = No. 47

Entry 19:
This record from the Alexandria database describes a geometry-optimized TaTcSe structure. The functional is PBE-GGA.

Geometry as POSCAR:
```
TaTcSe
1.0
-1.5504 2.0759 3.8728
1.5504 -2.0759 3.8728
1.5504 2.0759 -3.8728
Ta Tc Se
1 1 1
Direct
0.0000 0.0000 0.0000 Ta
0.6559 0.6559 0.0000 Tc
0.3297 0.3297 0.0000 Se
```

Properties
Calculated total energy = -8.456 eV/atom
E above lowest polymorph = 193 meV per atom
D(E_F) = 0.50 states/eV/atom
Symmetry = No. 44
Energy relative to the elements, uncorrected = 0.11 eV per atom

Entry 20:
This record from the Alexandria database describes a geometry-optimized NaBe2Cl structure. The functional is PBE-GGA.

Geometry as POSCAR:
```
NaBe2Cl
1.0
-3.8598 3.8598 2.4312
3.8598 -3.8598 2.4312
3.8598 3.8598 -2.4312
Na Be Cl
2 4 2
Direct
0.0000 0.0000 0.0000 Na
0.7500 0.2500 0.5000 Na
0.1601 0.1250 0.5351 Be
0.3750 0.8399 0.9649 Be
0.5899 0.6250 0.4649 Be
0.8750 0.4101 0.0351 Be
0.2500 0.7500 0.5000 Cl
0.5000 0.5000 0.0000 Cl
```

Properties
Calculated total energy = -2.290 eV/atom
E above lowest polymorph = 0 meV per atom
D(E_F) = 0.00 states/eV/atom
Symmetry = No. 122
Energy relative to the elements, uncorrected = 0.36 eV per atom